# 1
The following is a DFT calculation (PBE) of a geometry-optimized GdMg2Ga structure.

```
GdMg2Ga
1.0
4.379 0.000 0.000
0.000 4.379 0.000
0.000 0.000 4.797
Gd Mg Ga
1 2 1
direct
0.000 0.000 0.000
0.000 0.500 0.500
0.500 0.000 0.500
0.500 0.500 0.000
```

Calculated values
Total magnetic moment: 7.223 μB/f.u.
Volume: 23.0 Å³ per atom
Excess energy over the best structure of this formula in the dataset: 0.0000 eV per atom
Electronic total energy: -5.356 eV/atom
Symmetry: P4/mmm
Calculated density: 5.0 g/cm³

# 2
The following is a DFT calculation (PBE) of a geometry-optimized GdMgGa2 structure.

```
GdMgGa2
1.0
3.457 0.000 0.000
0.000 3.457 0.000
0.000 0.000 7.061
Gd Mg Ga
1 1 2
direct
0.000 0.000 0.000
0.000 0.000 0.500
0.500 0.500 0.283
0.500 0.500 0.717
```

Calculated values
Total magnetic moment: 7.517 μB/f.u.
Volume: 21.1 Å³ per atom
Electronic total energy: -5.822 eV/atom
Symmetry: P4/mmm
Calculated density: 6.3 g/cm³

# 3
The following is a DFT calculation (PBE) of a geometry-optimized GdMgGa structure.

```
GdMgGa
1.0
0.000 3.384 3.384
3.384 0.000 3.384
3.384 3.384 0.000
Gd Mg Ga
1 1 1
direct
0.000 0.000 0.000
0.500 0.500 0.500
0.750 0.750 0.750
```

Calculated values
Total magnetic moment: 6.997 μB/f.u.
Volume: 25.8 Å³ per atom
Excess energy over the best structure of this formula in the dataset: 0.1433 eV per atom
Electronic total energy: -6.590 eV/atom
Symmetry: F-43m
Calculated density: 5.4 g/cm³

# 4
The following is a DFT calculation (PBE) of a geometry-optimized GdMgGaPt structure.

```
GdMgGaPt
1.0
0.000 3.417 3.417
3.417 0.000 3.417
3.417 3.417 0.000
Gd Mg Ga Pt
1 1 1 1
direct
0.000 0.000 0.000
0.500 0.500 0.500
0.750 0.750 0.750
0.250 0.250 0.250
```

Calculated values
Total magnetic moment: 7.140 μB/f.u.
Volume: 20.0 Å³ per atom
Electronic total energy: -6.927 eV/atom
Symmetry: F-43m
Calculated density: 9.3 g/cm³

# 5
The following is a DFT calculation (PBE) of a geometry-optimized GdPuMgGa structure.

```
GdPuMgGa
1.0
0.000 3.681 3.681
3.681 0.000 3.681
3.681 3.681 0.000
Gd Pu Mg Ga
1 1 1 1
direct
0.000 0.000 0.000
0.500 0.500 0.500
0.250 0.250 0.250
0.750 0.750 0.750
```

Calculated values
Total magnetic moment: 13.291 μB/f.u.
Volume: 24.9 Å³ per atom
Electronic total energy: -8.429 eV/atom
Symmetry: F-43m
Calculated density: 8.2 g/cm³

# 6
The following is a DFT calculation (PBE) of a geometry-optimized SrGdMgGa structure.

```
SrGdMgGa
1.0
0.000 3.841 3.841
3.841 0.000 3.841
3.841 3.841 0.000
Sr Gd Mg Ga
1 1 1 1
direct
0.000 0.000 0.000
0.500 0.500 0.500
0.250 0.250 0.250
0.750 0.750 0.750
```

Calculated values
Total magnetic moment: 7.280 μB/f.u.
Volume: 28.3 Å³ per atom
Electronic total energy: -5.312 eV/atom
Symmetry: F-43m
Calculated density: 5.0 g/cm³

# 7
The following is a DFT calculation (PBE) of a geometry-optimized GdThMgGa structure.

```
GdThMgGa
1.0
0.000 3.727 3.727
3.727 0.000 3.727
3.727 3.727 0.000
Gd Th Mg Ga
1 1 1 1
direct
0.000 0.000 0.000
0.500 0.500 0.500
0.750 0.750 0.750
0.250 0.250 0.250
```

Calculated values
Total magnetic moment: 7.261 μB/f.u.
Volume: 25.9 Å³ per atom
Electronic total energy: -6.756 eV/atom
Symmetry: F-43m
Calculated density: 7.8 g/cm³

# 8
The following is a DFT calculation (PBE) of a geometry-optimized GdMgTlGa structure.

```
GdMgTlGa
1.0
0.000 3.628 3.628
3.628 0.000 3.628
3.628 3.628 0.000
Gd Mg Tl Ga
1 1 1 1
direct
0.000 0.000 0.000
0.500 0.500 0.500
0.250 0.250 0.250
0.750 0.750 0.750
```

Calculated values
Total magnetic moment: 6.933 μB/f.u.
Volume: 23.9 Å³ per atom
Electronic total energy: -5.565 eV/atom
Symmetry: F-43m
Calculated density: 7.9 g/cm³

Let's list formation energy in order: -281, -390, -356, -741, -170, -216, -226, -298 meV/atom.
Let's list DOS(E_F) in order: 2.15, 3.01, 1.29, 1.72, 6.54, 4.06, 2.66, 2.69 states/eV/f.u..